Here is a relaxed CoBiAsSe2 crystal from Alexandria via LeMat-Bulk. Energies are from PBEsol. Values from VASP.

The structure in Quantum ESPRESSO input format:
```
&SYSTEM
  ibrav = 0, nat = 5, ntyp = 4
/
ATOMIC_SPECIES
Co 58.93 Co.upf
Bi 208.98 Bi.upf
As 74.92 As.upf
Se 78.96 Se.upf
CELL_PARAMETERS angstrom
5.383 0.000 0.000
0.000 5.383 0.000
0.000 0.000 5.310
ATOMIC_POSITIONS angstrom
Co 0.000 0.000 0.000
Bi 2.692 2.692 2.655
As 2.692 2.692 0.000
Se 0.000 2.692 2.655
Se 2.692 0.000 2.655
```

Calculated values
As for the electronic total energy: -3.535 eV/atom. For the uncorrected formation energy, the calculation gives 1.43 eV/atom.



Here is a relaxed SrCrBi2As crystal from Alexandria via LeMat-Bulk. Energies are from PBEsol. Values from VASP.

The structure in Quantum ESPRESSO input format:
```
&SYSTEM
  ibrav = 0, nat = 5, ntyp = 4
/
ATOMIC_SPECIES
Sr 87.62 Sr.upf
Cr 52.00 Cr.upf
Bi 208.98 Bi.upf
As 74.92 As.upf
CELL_PARAMETERS angstrom
5.561 0.000 0.000
0.000 5.561 0.000
0.000 0.000 5.575
ATOMIC_POSITIONS angstrom
Sr 0.000 0.000 0.000
Cr 2.781 2.781 0.000
Bi 0.000 2.781 2.788
Bi 2.781 0.000 2.788
As 0.000 0.000 2.788
```

Calculated values
The value obtained for the formation energy is 2.73 eV/f.u. As for the electronic total energy: -4.607 eV/atom.



Here is a relaxed Cs2Bi2As crystal from Alexandria via LeMat-Bulk. Energies are from PBEsol. Values from VASP.

The structure in Quantum ESPRESSO input format:
```
&SYSTEM
  ibrav = 0, nat = 10, ntyp = 3
/
ATOMIC_SPECIES
Cs 132.91 Cs.upf
Bi 208.98 Bi.upf
As 74.92 As.upf
CELL_PARAMETERS angstrom
7.779 0.000 0.000
0.000 7.779 0.000
0.000 0.000 6.227
ATOMIC_POSITIONS angstrom
Cs 1.367 2.522 0.000
Cs 2.522 6.412 0.000
Cs 5.256 1.367 0.000
Cs 6.412 5.256 0.000
Bi 1.075 4.964 3.113
Bi 2.814 1.075 3.113
Bi 4.964 6.704 3.113
Bi 6.704 2.814 3.113
As 0.000 0.000 3.113
As 3.889 3.889 3.113
```

Calculated values
The value obtained for the formation energy is -1.08 eV/f.u. As for the electronic total energy: -3.328 eV/atom.



Here is a relaxed CuBi2As2 crystal from Alexandria via LeMat-Bulk. Energies are from PBEsol. Values from VASP.

The structure in Quantum ESPRESSO input format:
```
&SYSTEM
  ibrav = 0, nat = 10, ntyp = 3
/
ATOMIC_SPECIES
Cu 63.55 Cu.upf
Bi 208.98 Bi.upf
As 74.92 As.upf
CELL_PARAMETERS angstrom
6.293 0.000 0.000
0.000 6.293 0.000
0.000 0.000 5.924
ATOMIC_POSITIONS angstrom
Cu 0.000 0.000 0.000
Cu 3.146 3.146 0.000
Bi 1.197 1.950 2.962
Bi 1.950 5.096 2.962
Bi 4.343 1.197 2.962
Bi 5.096 4.343 2.962
As 0.892 2.255 0.000
As 2.255 5.401 0.000
As 4.038 0.892 0.000
As 5.401 4.038 0.000
```

Calculated values
The value obtained for the formation energy is 0.29 eV/f.u. As for the electronic total energy: -4.566 eV/atom.



Here is a relaxed Cu2BiAsH crystal from Alexandria via LeMat-Bulk. Energies are from PBEsol. Values from VASP.

The structure in Quantum ESPRESSO input format:
```
&SYSTEM
  ibrav = 0, nat = 5, ntyp = 4
/
ATOMIC_SPECIES
Cu 63.55 Cu.upf
Bi 208.98 Bi.upf
As 74.92 As.upf
H 1.01 H.upf
CELL_PARAMETERS angstrom
4.964 0.000 0.000
0.000 4.964 0.000
0.000 0.000 3.706
ATOMIC_POSITIONS angstrom
Cu 0.000 2.482 0.000
Cu 2.482 0.000 0.000
Bi 0.000 0.000 0.000
As 2.482 2.482 1.853
H 0.000 0.000 1.853
```

Calculated values
As for the electronic total energy: -3.426 eV/atom.



Here is a relaxed Zr2CuBiAs crystal from Alexandria via LeMat-Bulk. Energies are from PBEsol. Values from VASP.

The structure in Quantum ESPRESSO input format:
```
&SYSTEM
  ibrav = 0, nat = 5, ntyp = 4
/
ATOMIC_SPECIES
Zr 91.22 Zr.upf
Cu 63.55 Cu.upf
Bi 208.98 Bi.upf
As 74.92 As.upf
CELL_PARAMETERS angstrom
5.087 0.000 0.000
0.000 5.087 0.000
0.000 0.000 4.318
ATOMIC_POSITIONS angstrom
Zr 0.000 2.543 0.000
Zr 2.543 0.000 0.000
Cu 0.000 0.000 2.159
Bi 2.543 2.543 2.159
As 0.000 0.000 0.000
```

Calculated values
The value obtained for the formation energy is -0.44 eV/f.u. As for the electronic total energy: -6.468 eV/atom.



Here is a relaxed Bi3AsF crystal from Alexandria via LeMat-Bulk. Energies are from PBEsol. Values from VASP.

The structure in Quantum ESPRESSO input format:
```
&SYSTEM
  ibrav = 0, nat = 5, ntyp = 3
/
ATOMIC_SPECIES
Bi 208.98 Bi.upf
As 74.92 As.upf
F 19.00 F.upf
CELL_PARAMETERS angstrom
4.997 0.000 0.000
0.000 4.997 0.000
0.000 0.000 4.997
ATOMIC_POSITIONS angstrom
Bi 0.000 0.000 2.499
Bi 0.000 2.499 0.000
Bi 2.499 0.000 0.000
As 2.499 2.499 2.499
F 0.000 0.000 0.000
```

Calculated values
As for the electronic total energy: -4.060 eV/atom. For the uncorrected formation energy, the calculation gives -0.08 eV/atom.



Here is a relaxed BiAsN2F crystal from Alexandria via LeMat-Bulk. Energies are from PBEsol. Values from VASP.

The structure in Quantum ESPRESSO input format:
```
&SYSTEM
  ibrav = 0, nat = 5, ntyp = 4
/
ATOMIC_SPECIES
Bi 208.98 Bi.upf
As 74.92 As.upf
N 14.01 N.upf
F 19.00 F.upf
CELL_PARAMETERS angstrom
4.316 0.000 0.000
0.000 4.316 0.000
0.000 0.000 4.220
ATOMIC_POSITIONS angstrom
Bi 0.000 0.000 0.000
As 2.158 2.158 2.110
N 0.000 2.158 0.000
N 2.158 0.000 0.000
F 0.000 0.000 2.110
```

Calculated values
As for the electronic total energy: -4.741 eV/atom. For the uncorrected formation energy, the calculation gives 0.93 eV/atom.